Record 1
Compound: BeTe3
Source: Alexandria via LeMat-Bulk
Functional: meta-GGA SCAN
Structure: single point on PBEsol structure

Cell and atoms, written as extended XYZ:
```
4
Lattice="5.134 0.000 0.000 -1.711 4.840 0.000 -1.711 -2.420 4.192" Properties=species:S:1:pos:R:3 pbc="T T T"
Te -1.711 1.210 2.096
Te 1.711 -1.210 2.096
Te 1.711 2.420 0.000
Be 0.000 0.000 0.000
```

Values from the calculation:
- E_form (uncorrected): 0.24 eV/atom
- Uncorrected energy: -28.79 eV per atom
- Calculated volume: 104 Å³/cell



Record 2
Compound: MgSb2Pb
Source: Alexandria via LeMat-Bulk
Functional: meta-GGA SCAN
Structure: single point on PBEsol structure

Cell and atoms, written as extended XYZ:
```
4
Lattice="-0.390 -1.155 -3.018 3.975 0.077 -0.544 0.590 -7.319 3.282" Properties=species:S:1:pos:R:3 pbc="T T T"
Mg 1.792 -0.539 -1.781
Sb 0.088 -6.818 -0.323
Sb 0.112 -1.657 0.586
Pb 2.087 -4.199 -0.140
```

Values from the calculation:
- E_form (uncorrected): -0.03 eV/atom
- Uncorrected energy: -38.85 eV per atom
- Calculated volume: 105 Å³/cell